No. 1
Entry from Alexandria via LeMat-Bulk: an optimized crystal structure of Na3OsW (GGA-PBE).

extended XYZ file:
```
5
Lattice="5.772 0.000 0.000 0.000 5.772 0.000 0.000 0.000 5.772" Properties=species:S:1:pos:R:3 pbc="T T T"
Na 0.000 0.000 2.886
Na 0.000 2.886 0.000
Na 2.886 0.000 0.000
Os 2.886 2.886 2.886
W 0.000 0.000 0.000
```

## Properties
distance to the lowest polymorph of the same formula: 6.57 kcal/mol of atoms
formation energy from the elements: 2.72 eV per atom

No. 2
Entry from Alexandria via LeMat-Bulk: an optimized crystal structure of Sc4Al3Hg (GGA-PBE).

extended XYZ file:
```
8
Lattice="3.357 0.000 0.000 0.000 3.357 0.000 0.000 0.000 14.152" Properties=species:S:1:pos:R:3 pbc="T T T"
Sc 0.000 0.000 1.690
Sc 0.000 0.000 5.137
Sc 0.000 0.000 9.014
Sc 0.000 0.000 12.462
Al 1.678 1.678 0.000
Al 1.678 1.678 3.417
Al 1.678 1.678 10.735
Hg 1.678 1.678 7.076
```

## Properties
formation energy from the elements: -0.44 eV per atom

No. 3
Entry from Alexandria via LeMat-Bulk: an optimized crystal structure of Pr2Cd16Sn (GGA-PBE).

extended XYZ file:
```
19
Lattice="5.136 2.965 4.916 -5.136 2.965 4.916 0.000 -5.931 4.916" Properties=species:S:1:pos:R:3 pbc="T T T"
Pr 0.000 0.000 0.000
Pr 0.000 0.000 4.989
Cd 0.000 -2.689 2.635
Cd -2.329 1.345 2.635
Cd -2.751 -1.588 7.423
Cd 0.000 -2.972 7.157
Cd -2.574 1.486 7.157
Cd -1.582 -2.768 9.836
Cd -3.188 0.014 9.836
Cd 2.329 1.345 2.635
Cd 1.582 -2.768 9.836
Cd -1.606 2.753 9.836
Cd 2.751 -1.588 7.423
Cd 0.000 3.176 7.423
Cd 0.000 0.000 11.260
Cd 2.574 1.486 7.157
Cd 3.188 0.014 9.836
Cd 1.606 2.754 9.836
Sn 0.000 0.000 8.312
```

## Properties
formation energy from the elements: -0.16 eV per atom

No. 4
Entry from Alexandria via LeMat-Bulk: an optimized crystal structure of CdPtCl (GGA-PBE).

extended XYZ file:
```
6
Lattice="13.856 0.000 0.000 0.000 1.610 2.815 0.000 -1.610 2.815" Properties=species:S:1:pos:R:3 pbc="T T T"
Cd 0.000 0.000 0.000
Cd 6.928 0.000 0.729
Pt 2.078 0.000 1.866
Pt 11.779 0.000 1.866
Cl 5.102 0.000 4.496
Cl 8.754 0.000 4.496
```

## Properties
distance to the lowest polymorph of the same formula: 1.17 kcal/mol of atoms

No. 5
Entry from Alexandria via LeMat-Bulk: an optimized crystal structure of TeCSe2 (GGA-PBE).

extended XYZ file:
```
4
Lattice="2.131 1.231 7.616 -2.131 1.231 7.616 0.000 -2.461 7.616" Properties=species:S:1:pos:R:3 pbc="T T T"
Te 0.000 0.000 0.000
C 0.000 0.000 11.424
Se 0.000 0.000 9.684
Se 0.000 0.000 13.164
```

## Properties
distance to the lowest polymorph of the same formula: 0.00 kcal/mol of atoms

No. 6
Entry from Alexandria via LeMat-Bulk: an optimized crystal structure of Ca3PrS4 (GGA-PBE).

extended XYZ file:
```
8
Lattice="4.062 -5.737 0.000 4.062 5.737 0.000 0.000 0.000 4.045" Properties=species:S:1:pos:R:3 pbc="T T T"
Ca 0.000 0.000 0.000
Ca 2.031 2.869 2.022
Ca 2.031 -2.869 2.022
Pr 4.062 0.000 0.000
S 1.992 0.000 2.022
S 4.062 2.887 0.000
S 4.062 -2.887 0.000
S 6.132 0.000 2.022
```

## Properties
distance to the lowest polymorph of the same formula: 0.00 kcal/mol of atoms